The following is a DFT calculation (GGA+U) of an optimized crystal structure of TeMoPO2.

a b c (Å): 3.8704 3.8704 5.7824
angles (deg): 90.00 90.00 90.00
Fractional coordinates of all 5 atoms:
1 P 0.0000 0.0000 0.5000
2 Mo 0.0000 0.0000 0.0000
3 Te 0.5000 0.5000 0.5000
4 O 0.0000 0.5000 0.0000
5 O 0.5000 0.0000 0.0000

- Energy above the most stable polymorph in this dataset: 0.0 meV/atom
- Crystal system: tetragonal
- Space group: No. 123
- Total energy: -28.4 eV/f.u.
- Density: 5.49 g/cm3